(1)
CrBiI3: optimized geometry, PBE-GGA.

Calculated values
**E_form (uncorrected)**: 0.40 eV per atom

Cell lengths 6.193, 6.193, 6.193 Å; angles 90.00, 90.00, 90.00 degrees
Space group Pm-3m (No. 221)
Inequivalent atoms, fractional coordinates:
Cr 0.000 0.000 0.000
Bi 0.500 0.500 0.500
I 0.000 0.500 0.500



(2)
CrBi2I: optimized geometry, PBE-GGA.

Calculated values
**E_form (uncorrected)**: 0.65 eV per atom

Cell lengths 7.746, 7.746, 7.746 Å; angles 90.00, 90.00, 90.00 degrees
Space group Fm-3m (No. 225)
Inequivalent atoms, fractional coordinates:
Cr 0.000 0.000 0.000
Bi 0.250 0.250 0.250
I 0.000 0.000 0.500



(3)
CrBiI2: optimized geometry, PBE-GGA.

Calculated values
**E_form (uncorrected)**: 0.53 eV per atom

Cell lengths 7.818, 7.818, 7.818 Å; angles 90.00, 90.00, 90.00 degrees
Space group Fm-3m (No. 225)
Inequivalent atoms, fractional coordinates:
Cr 0.000 0.000 0.000
Bi 0.000 0.000 0.500
I 0.250 0.250 0.250



Q: Look up the E_form (uncorrected) of the first one.
A: 0.40 eV per atom